Entry 1:
Here is crystalline InNiSb2I at its relaxed geometry from the Alexandria database. Energies are from PBE.

abc: 5.066 5.066 5.240
angles: 90.00 90.00 90.00
Sites, in units of the cell vectors:
In (0.000, 0.000, 0.000)
Ni (0.000, 0.000, 0.500)
Sb (0.000, 0.500, 0.500)
Sb (0.500, 0.000, 0.500)
I (0.500, 0.500, 0.000)

Summary:
**Relative energy among the computed polymorphs**: 0 meV per atom
**Formation energy (no corrections)**: 0.142 eV/atom
**Space-group type**: No. 123

Entry 2:
Here is crystalline InNiSb2I at its relaxed geometry from the Alexandria database. Energies are from PBE.

abc: 5.614 5.614 5.872
angles: 90.00 90.00 90.00
Sites, in units of the cell vectors:
In (0.000, 0.000, 0.000)
Ni (0.500, 0.500, 0.500)
Sb (0.000, 0.500, 0.000)
Sb (0.500, 0.000, 0.000)
I (0.000, 0.000, 0.500)

Summary:
**Relative energy among the computed polymorphs**: 1032 meV per atom
**Formation energy (no corrections)**: 1.175 eV/atom
**Space-group type**: No. 123

Entry 3:
Here is crystalline InNiSnI2 at its relaxed geometry from the Alexandria database. Energies are from PBE.

abc: 5.460 5.460 4.919
angles: 90.00 90.00 90.00
Sites, in units of the cell vectors:
In (0.000, 0.000, 0.000)
Ni (0.000, 0.000, 0.500)
Sn (0.500, 0.500, 0.000)
I (0.000, 0.500, 0.500)
I (0.500, 0.000, 0.500)

Summary:
**Formation energy (no corrections)**: 0.193 eV/atom
**Space-group type**: No. 123

Entry 4:
Here is crystalline In2NiSnI at its relaxed geometry from the Alexandria database. Energies are from PBE.

abc: 5.226 5.226 4.976
angles: 90.00 90.00 90.00
Sites, in units of the cell vectors:
In (0.000, 0.500, 0.000)
In (0.500, 0.000, 0.000)
Ni (0.000, 0.000, 0.000)
Sn (0.000, 0.000, 0.500)
I (0.500, 0.500, 0.500)

Summary:
**Formation energy (no corrections)**: -0.162 eV/atom
**Space-group type**: No. 123

Entry 5:
Here is crystalline TlIn2NiI at its relaxed geometry from the Alexandria database. Energies are from PBE.

abc: 5.141 5.141 5.276
angles: 90.00 90.00 90.00
Sites, in units of the cell vectors:
Tl (0.000, 0.000, 0.000)
In (0.000, 0.500, 0.500)
In (0.500, 0.000, 0.500)
Ni (0.000, 0.000, 0.500)
I (0.500, 0.500, 0.000)

Summary:
**Formation energy (no corrections)**: -0.197 eV/atom
**Space-group type**: No. 123

Entry 6:
Here is crystalline VInNi2I at its relaxed geometry from the Alexandria database. Energies are from PBE.

abc: 4.645 4.645 5.106
angles: 90.00 90.00 90.00
Sites, in units of the cell vectors:
V (0.000, 0.000, 0.000)
In (0.500, 0.500, 0.000)
Ni (0.000, 0.500, 0.500)
Ni (0.500, 0.000, 0.500)
I (0.000, 0.000, 0.500)

Summary:
**Formation energy (no corrections)**: 0.990 eV/atom
**Space-group type**: No. 123

Entry 7:
Here is crystalline ZnInNiI2 at its relaxed geometry from the Alexandria database. Energies are from PBE.

abc: 5.347 5.347 5.245
angles: 90.00 90.00 90.00
Sites, in units of the cell vectors:
Zn (0.000, 0.000, 0.000)
In (0.500, 0.500, 0.000)
Ni (0.500, 0.500, 0.500)
I (0.000, 0.500, 0.500)
I (0.500, 0.000, 0.500)

Summary:
**Formation energy (no corrections)**: 0.135 eV/atom
**Space-group type**: No. 123

Entry 8:
Here is crystalline NpIn2I8 at its relaxed geometry from the Alexandria database. Energies are from PBE.

abc: 8.803 8.803 9.992
angles: 117.08 117.08 77.03
Sites, in units of the cell vectors:
Np (0.000, 0.000, 0.000)
In (0.091, 0.091, 0.670)
In (0.909, 0.909, 0.330)
I (0.152, 0.759, 0.180)
I (0.241, 0.848, 0.820)
I (0.253, 0.253, 0.268)
I (0.329, 0.329, 0.809)
I (0.671, 0.671, 0.191)
I (0.747, 0.747, 0.732)
I (0.759, 0.152, 0.180)
I (0.848, 0.241, 0.820)

Summary:
**Relative energy among the computed polymorphs**: 0 meV per atom
**Formation energy (no corrections)**: -0.590 eV/atom
**Space-group type**: No. 12

Q: formation energy (no corrections) of number 5 (TlIn2NiI)?
A: -0.197 eV/atom

Q: Among the records above, which one has the lowest formation energy (no corrections)?
A: NpIn2I8

Repeat the fifth record exactly.
Here is crystalline TlIn2NiI at its relaxed geometry from the Alexandria database. Energies are from PBE.

abc: 5.141 5.141 5.276
angles: 90.00 90.00 90.00
Sites, in units of the cell vectors:
Tl (0.000, 0.000, 0.000)
In (0.000, 0.500, 0.500)
In (0.500, 0.000, 0.500)
Ni (0.000, 0.000, 0.500)
I (0.500, 0.500, 0.000)

Summary:
**Formation energy (no corrections)**: -0.197 eV/atom
**Space-group type**: No. 123